1.
Below is a geometry-optimized Ce6YTe8 structure, with properties calculated at the GGA-PBE level.

Summary:
- DFT total energy: -5.87 eV/atom
- D(E_F): 43.73 states/eV/f.u.

Unit cell a=8.9496 b=8.9496 c=8.9496 alpha=60.00 beta=60.00 gamma=60.00
Closest atoms and distances in Å follow each position.
Fractional positions:
Te1 0.2492 0.2492 0.7508  1 Y 3.15, 4 Ce 3.16
Te2 0.2500 0.2500 0.2500  6 Ce 3.16
Te3 0.7500 0.7500 0.7500  6 Ce 3.16
Te4 0.2492 0.7508 0.7508  1 Y 3.15, 4 Ce 3.16
Te5 0.7508 0.2492 0.7508  1 Y 3.15, 4 Ce 3.16
Te6 0.7508 0.7508 0.2492  1 Y 3.15, 4 Ce 3.16
Te7 0.2492 0.7508 0.2492  1 Y 3.15, 4 Ce 3.16
Te8 0.7508 0.2492 0.2492  1 Y 3.15, 4 Ce 3.16
Ce1 0.5000 0.0000 0.5000  6 Te 3.16
Ce2 0.5000 0.0000 0.0000  6 Te 3.16
Ce3 0.0000 0.0000 0.5000  6 Te 3.16
Ce4 0.0000 0.5000 0.5000  6 Te 3.16
Ce5 0.5000 0.5000 0.0000  6 Te 3.16
Ce6 0.0000 0.5000 0.0000  6 Te 3.16
Y1 0.0000 0.0000 0.0000  6 Te 3.15



2.
Below is a geometry-optimized LiCd3InAg structure, with properties calculated at the GGA-PBE level.

Summary:
- DFT total energy: -1.80 eV/atom
- D(E_F): 1.22 states/eV/f.u.

Unit cell a=3.7094 b=7.3524 c=10.4313 alpha=118.39 beta=90.00 gamma=90.00
Closest atoms and distances in Å follow each position.
Fractional positions:
In1 0.2500 0.6223 0.1483  2 Ag 2.95, 1 Li 3.03, 5 Cd 3.14-3.21
In2 0.7500 0.3777 0.8517  2 Ag 2.95, 1 Li 3.03, 5 Cd 3.14-3.21
Cd1 0.2500 0.6497 0.4751  2 Li 2.92, 3 Ag 2.98-3.01, 5 Cd 3.07-3.11
Cd2 0.7500 0.3503 0.5249  2 Li 2.92, 3 Ag 2.98-3.01, 5 Cd 3.07-3.11
Cd3 0.2500 0.6584 0.7727  2 Li 2.92, 6 Cd 3.05-3.12, 2 In 3.16
Cd4 0.7500 0.3416 0.2273  2 Li 2.92, 6 Cd 3.05-3.12, 2 In 3.16
Cd5 0.2500 0.1276 0.9554  2 Li 2.96, 5 Cd 3.05-3.12, 3 In 3.14-3.21
Cd6 0.7500 0.8724 0.0446  2 Li 2.96, 5 Cd 3.05-3.12, 3 In 3.14-3.21
Ag1 0.2500 0.1150 0.6157  2 Li 2.83, 2 Ag 2.87, 2 In 2.95, 3 Cd 2.98-3.01
Ag2 0.7500 0.8850 0.3843  2 Li 2.83, 2 Ag 2.87, 2 In 2.95, 3 Cd 2.98-3.01
Li1 0.7500 0.9092 0.7066  2 Ag 2.83, 6 Cd 2.92-2.96, 1 In 3.03
Li2 0.2500 0.0908 0.2934  2 Ag 2.83, 6 Cd 2.92-2.96, 1 In 3.03



3.
Below is a geometry-optimized HgTe2Pt structure, with properties calculated at the GGA-PBE level.

Summary:
- DFT total energy: -3.14 eV/atom
- D(E_F): 3.25 states/eV/f.u.

Unit cell a=4.2296 b=4.2296 c=7.5992 alpha=90.00 beta=90.00 gamma=120.00
Closest atoms and distances in Å follow each position.
Fractional positions:
Te1 0.3333 0.6667 0.7616  1 Pt 2.55
Te2 0.6667 0.3333 0.2910  3 Pt 2.65
Pt1 0.3333 0.6667 0.4257  4 Te 2.55-2.65
Hg1 0.0000 0.0000 0.9767  3 Te 2.94



4.
Below is a geometry-optimized Hf3Zr2Sn2 structure, with properties calculated at the GGA-PBE level.

Summary:
- DFT total energy: -8.15 eV/atom
- D(E_F): 6.90 states/eV/f.u.

Unit cell a=4.0722 b=7.3685 c=5.6035 alpha=95.08 beta=111.31 gamma=90.00
Closest atoms and distances in Å follow each position.
Fractional positions:
Sn1 0.4217 0.2741 0.8434  6 Hf 3.03-3.29, 5 Zr 3.12-3.25
Sn2 0.5783 0.7259 0.1566  6 Hf 3.03-3.29, 5 Zr 3.12-3.25
Hf1 0.0000 0.0000 0.0000  4 Sn 3.03, 6 Hf 3.11-3.25, 2 Zr 3.33
Hf2 0.7128 0.1371 0.4256  5 Hf 3.02-3.25, 4 Sn 3.08-3.29, 2 Zr 3.09
Hf3 0.2872 0.8629 0.5744  5 Hf 3.02-3.25, 4 Sn 3.08-3.29, 2 Zr 3.09
Zr1 0.1394 0.4260 0.2789  4 Hf 3.09-3.43, 5 Sn 3.12-3.25, 3 Zr 3.19-3.20
Zr2 0.8606 0.5740 0.7211  4 Hf 3.09-3.43, 5 Sn 3.12-3.25, 3 Zr 3.19-3.20



5.
Below is a geometry-optimized RbZn structure, with properties calculated at the GGA-PBE level.

Summary:
- DFT total energy: -0.88 eV/atom
- D(E_F): 1.08 states/eV/f.u.

Unit cell a=7.3933 b=7.3933 c=7.2195 alpha=90.00 beta=90.00 gamma=90.00
Closest atoms and distances in Å follow each position.
Fractional positions:
Zn1 0.6270 0.3730 0.0000  1 Zn 2.66
Zn2 0.8730 0.8730 0.5000  1 Zn 2.66
Zn3 0.1270 0.1270 0.5000  1 Zn 2.66
Zn4 0.3730 0.6270 0.0000  1 Zn 2.66
Rb1 0.3133 0.6867 0.5000  4 Zn 3.53-3.66, 1 Rb 3.90
Rb2 0.6867 0.3133 0.5000  4 Zn 3.53-3.66, 1 Rb 3.90
Rb3 0.8133 0.8133 0.0000  4 Zn 3.53-3.66, 1 Rb 3.90
Rb4 0.1867 0.1867 0.0000  4 Zn 3.53-3.66, 1 Rb 3.90



6.
Below is a geometry-optimized NaCaIn2Cl structure, with properties calculated at the GGA-PBE level.

Summary:
- DFT total energy: -2.01 eV/atom
- D(E_F): 2.63 states/eV/f.u.

Unit cell a=5.3979 b=6.5230 c=5.3979 alpha=90.00 beta=90.00 gamma=90.00
Closest atoms and distances in Å follow each position.
Fractional positions:
Cl1 0.5000 0.5000 0.5000  4 Ca 3.82, 8 In 4.23
In1 0.0000 0.0000 0.5000  2 Na 2.70
In2 0.5000 0.0000 0.0000  2 Na 2.70
Na1 0.0000 0.0000 0.0000  4 In 2.70
Ca1 0.0000 0.5000 0.0000  2 Na 3.26



7.
Below is a geometry-optimized CsCaTeHAu structure, with properties calculated at the GGA-PBE level.

Summary:
- DFT total energy: -3.06 eV/atom
- D(E_F): 2.89 states/eV/f.u.

Unit cell a=5.2806 b=5.5546 c=6.8921 alpha=78.46 beta=89.79 gamma=61.86
Closest atoms and distances in Å follow each position.
Fractional positions:
Cs1 0.2538 0.4555 0.1957  3 H 3.07-3.25
H1 0.5568 0.8486 0.1459  1 Au 1.77
Au1 0.6163 0.7322 0.4078  1 H 1.77
Ca1 0.5191 0.9316 0.7877  1 H 2.41
Te1 0.8377 0.2966 0.7663  1 Au 2.88, 3 Ca 3.15-3.18



8.
Below is a geometry-optimized TaAsBr3 structure, with properties calculated at the GGA-PBE level.

Summary:
- DFT total energy: -3.99 eV/atom
- D(E_F): 2.65 states/eV/f.u.

Unit cell a=5.2062 b=5.2062 c=5.2062 alpha=90.00 beta=90.00 gamma=90.00
Closest atoms and distances in Å follow each position.
Fractional positions:
Br1 0.0000 0.5000 0.0000  2 Ta 2.60
Br2 0.0000 0.0000 0.5000  2 Ta 2.60
Br3 0.5000 0.0000 0.0000  2 Ta 2.60
Ta1 0.0000 0.0000 0.0000  6 Br 2.60
As1 0.5000 0.5000 0.5000  12 Br 3.68



Repeat the seventh record exactly.
Below is a geometry-optimized CsCaTeHAu structure, with properties calculated at the GGA-PBE level.

Summary:
- DFT total energy: -3.06 eV/atom
- D(E_F): 2.89 states/eV/f.u.

Unit cell a=5.2806 b=5.5546 c=6.8921 alpha=78.46 beta=89.79 gamma=61.86
Closest atoms and distances in Å follow each position.
Fractional positions:
Cs1 0.2538 0.4555 0.1957  3 H 3.07-3.25
H1 0.5568 0.8486 0.1459  1 Au 1.77
Au1 0.6163 0.7322 0.4078  1 H 1.77
Ca1 0.5191 0.9316 0.7877  1 H 2.41
Te1 0.8377 0.2966 0.7663  1 Au 2.88, 3 Ca 3.15-3.18



> Which of these has the highest D(E_F)?

Ce6YTe8



> Number 4 is which compound?

Hf3Zr2Sn2



> What is the DFT total energy in the fourth record?

-8.15 eV/atom